## w
The following is a PBE-GGA calculation of TlGeBi after structural relaxation, from Alexandria via LeMat-Bulk.

Calculated values
**Size of the total moment**: 0.00 μB/f.u.
**Calculated density**: 9.594 g/cm³

Lattice parameters (Å, degrees): 5.3764 5.3764 3.3603 90.00 90.00 120.00
Space group P3m1 (No. 156)
Symmetry-distinct sites (fractional):
Tl (0.0000, 0.0000, 0.0000) [1 per cell]
Ge (0.3333, 0.6667, 0.4641) [1 per cell]
Bi (0.6667, 0.3333, 0.5119) [1 per cell]

***

## x
The following is a PBE-GGA calculation of TlGeBi after structural relaxation, from Alexandria via LeMat-Bulk.

Calculated values
**Size of the total moment**: 0.00 μB/f.u.
**Calculated density**: 8.548 g/cm³

Lattice parameters (Å, degrees): 7.228 7.228 7.228 90.00 90.00 90.00
Space group F-43m (No. 216)
Symmetry-distinct sites (fractional):
Tl (0.000, 0.000, 0.000) [4 per cell]
Ge (0.250, 0.250, 0.250) [4 per cell]
Bi (0.000, 0.000, 0.500) [4 per cell]

***

## y
The following is a PBE-GGA calculation of TlGeBi after structural relaxation, from Alexandria via LeMat-Bulk.

Calculated values
**Size of the total moment**: 0.00 μB/f.u.
**Calculated density**: 9.248 g/cm³

Lattice parameters (Å, degrees): 14.259 3.836 6.433 90.00 97.22 90.00
Space group C2/m (No. 12)
Symmetry-distinct sites (fractional):
Tl (0.146, 0.000, 0.369) [4 per cell]
Ge (0.217, 0.000, 0.871) [4 per cell]
Bi (0.051, 0.500, 0.799) [4 per cell]

***

Relative calculated energies, zero for the most stable structure, unit meV per atom: w 38; x 22; y 0.